Record 1
The following is a PBEsol calculation of crystalline Mn2AlP at its relaxed geometry, from Alexandria via LeMat-Bulk.

Summary:
* DOS(E_F): 2.705 states/eV/cell
* relative energy among the computed polymorphs: 56.0 meV per atom
* total moment: 0.2958 μB/atom
* SG: Amm2, No. 38
* E_form: -19 kJ/mol of atoms
* raw total energy: -7.545 eV/atom

Lattice parameters (Å, degrees): 2.683 4.051 4.579 90.00 107.03 90.00
Each line ends with the local moment (μB).
Fractional positions:
1 P 0.325 0.000 0.650  -0.02
2 Mn 0.431 0.500 0.861  -0.71
3 Al 0.694 0.500 0.387  0.00
4 Mn 0.050 0.000 0.100  1.89

***

Record 2
The following is a PBEsol calculation of crystalline CuAuN2 at its relaxed geometry, from Alexandria via LeMat-Bulk.

Summary:
* raw formation energy: 92.4 kJ per mole of atoms
* DOS(E_F): 0.292 states/eV/cell
* total moment: 0.0000 μB/atom
* SG: R-3m, No. 166
* raw total energy: -5.370 eV/atom

Lattice parameters (Å, degrees): 3.169 3.169 5.944 74.54 74.54 60.00
Fractional positions:
1 N 0.107 0.107 0.678
2 Au 0.500 0.500 0.500
3 Cu 0.000 0.000 0.000
4 N 0.893 0.893 0.322

***

- Which formula does entry 1 have?
  Mn2AlP

***

- What is the formula in the second record?
  CuAuN2